This record from the Open Quantum Materials Database describes a relaxed Zr2In2AgPd2Au crystal. The functional is PBE.

Results
final energy: -5.383 eV/atom

Structure (CIF):
```
data_Zr2In2AgPd2Au
_chemical_formula_sum 'Zr2 In2 Ag1 Pd2 Au1'
_cell_length_a 4.749
_cell_length_b 4.749
_cell_length_c 6.700
_cell_angle_alpha 90.00
_cell_angle_beta 90.00
_cell_angle_gamma 90.00
_symmetry_space_group_name_H-M 'P -4 m 2'
_symmetry_Int_Tables_number 115
_symmetry_space_group_name_Hall 'P -4 -2'
loop_
_atom_site_label
_atom_site_type_symbol
_atom_site_fract_x
_atom_site_fract_y
_atom_site_fract_z
_atom_site_occupancy
Zr1 Zr 0.000 0.500 0.244 1
In1 In 0.000 0.500 0.746 1
Ag1 Ag 0.500 0.500 0.500 1
Pd1 Pd 0.000 0.000 0.500 1
Pd2 Pd 0.500 0.500 0.000 1
Au1 Au 0.000 0.000 0.000 1
```